A plane-wave DFT calculation with PBE was carried out for a relaxed structure of SrFeW2.

POSCAR file:
```
SrFeW2
1.0
5.1431 0.0000 0.0000
0.0000 5.1431 0.0000
0.0000 0.0000 2.7584
Sr Fe W
1 1 2
Cartesian
0.0000 0.0000 0.0000
2.5716 2.5716 0.0000
0.0000 2.5716 1.3792
2.5716 0.0000 1.3792
```

Calculated values
**Space group**: P4/mmm, No. 123
**E_form**: 156 kJ/mol of atoms